## Ca2Cu2Ir (PBE)

Data for a relaxed Ca2Cu2Ir crystal.

Output
- total energy (eV per atom) = -4.433
- energy of formation (eV per atom) = -0.221
- offset from the most stable computed form (meV per atom) = 0
- volume (Å³ per cell) = 395.9

a = 9.0237 Å, b = 5.4455 Å, c = 8.2403 Å
α = 90.00°, β = 102.14°, γ = 90.00°
With the nearest neighbours (Å) after each atom.
Space group C2/c (No. 15)
Inequivalent atoms, fractional coordinates:
Ca  0.1520  0.1272  0.1571 [8 per cell]  6 Cu 2.91-3.19, 3 Ir 3.07-3.26
Cu  0.1269  0.3743  0.5011 [8 per cell]  2 Ir 2.55-2.58, 2 Cu 2.60-2.67
Ir  0.0000  0.3636  0.7500 [4 per cell]  4 Cu 2.55-2.58